First-principles (GGA+U) data for a relaxed structure of Na10Co4O9, as listed in OQMD.

Output
As for the space group: No. 2. The volume comes out at 13.923 A^3/atom. The value obtained for the total energy is -4.651 eV/atom.

a b c (Å): 8.2970 8.4063 11.2173
angles (deg): 86.73 70.41 61.16
Atoms (fractional coordinates):
Na (0.0043, 0.1147, 0.3897)
Na (0.0236, 0.5745, 0.1224)
Na (0.1243, 0.1652, 0.6348)
Na (0.1521, 0.4205, 0.3718)
Na (0.2365, 0.0275, 0.8842)
Na (0.3283, 0.6579, 0.3697)
Na (0.3440, 0.1137, 0.1155)
Na (0.3598, 0.3262, 0.8826)
Na (0.3972, 0.7744, 0.6199)
Na (0.4955, 0.3696, 0.1428)
Na (0.5045, 0.6304, 0.8572)
Na (0.6028, 0.2256, 0.3801)
Na (0.6402, 0.6738, 0.1174)
Na (0.6560, 0.8863, 0.8845)
Na (0.6717, 0.3421, 0.6303)
Na (0.7635, 0.9725, 0.1158)
Na (0.8479, 0.5795, 0.6282)
Na (0.8757, 0.8348, 0.3652)
Na (0.9764, 0.4255, 0.8776)
Na (0.9957, 0.8853, 0.6103)
Co (0.0764, 0.7531, 0.8511)
Co (0.2094, 0.8122, 0.1414)
Co (0.2580, 0.4630, 0.6495)
Co (0.4365, 0.9681, 0.3583)
Co (0.5635, 0.0319, 0.6417)
Co (0.7420, 0.5370, 0.3505)
Co (0.7906, 0.1878, 0.8586)
Co (0.9236, 0.2469, 0.1489)
O (0.0574, 0.9683, 0.7851)
O (0.1026, 0.2926, 0.0335)
O (0.1446, 0.5753, 0.5362)
O (0.1919, 0.6251, 0.2259)
O (0.2476, 0.9324, 0.4735)
O (0.2956, 0.2425, 0.7177)
O (0.3439, 0.5618, 0.7521)
O (0.4077, 0.8350, 0.0269)
O (0.4390, 0.1598, 0.2760)
O (0.5610, 0.8402, 0.7240)
O (0.5923, 0.1650, 0.9731)
O (0.6561, 0.4382, 0.2479)
O (0.7044, 0.7575, 0.2823)
O (0.7524, 0.0676, 0.5265)
O (0.8081, 0.3749, 0.7741)
O (0.8554, 0.4247, 0.4638)
O (0.8974, 0.7074, 0.9665)
O (0.9426, 0.0317, 0.2149)